A relaxed structure of Ba3NaZn. Source: the Alexandria database, functional PBE.

- DOS at the Fermi energy (states/eV/cell) = 4.92
- crystal system = cubic
- ΔE to the lowest computed polymorph (meV/atom) = 47.0
- E_form (eV per atom) = 0.007
- VASP energy (eV for the cell shown) = -8.32

Cell: 6.565 6.565 6.565 Å, 90.00 90.00 90.00°
Element x y z (fractional)
Ba: 0.000 0.500 0.000
Zn: 0.000 0.000 0.000
Na: 0.500 0.500 0.500
Ba: 0.500 0.000 0.000
Ba: 0.000 0.000 0.500

***

A relaxed structure of Ba6NaZn2. Source: the Alexandria database, functional PBE.

- DOS at the Fermi energy (states/eV/cell) = 25.81
- crystal system = orthorhombic
- E_form (eV per atom) = -0.057
- VASP energy (eV for the cell shown) = -31.83

Cell: 10.426 10.426 10.426 Å, 106.70 109.64 112.12°
Element x y z (fractional)
Ba: 0.291 0.608 0.317
Zn: 0.608 0.000 0.608
Ba: 0.709 0.026 0.317
Ba: 0.517 0.703 0.814
Ba: 0.776 0.781 0.556
Zn: 0.500 0.386 0.886
Ba: 0.709 0.392 0.683
Ba: 0.890 0.703 0.186
Ba: 0.110 0.297 0.814
Ba: 0.224 0.219 0.444
Ba: 0.483 0.297 0.186
Ba: 0.291 0.974 0.683
Ba: 0.776 0.219 0.995
Na: 0.000 0.500 0.500
Zn: 0.392 0.000 0.392
Na: 0.000 0.000 0.000
Zn: 0.500 0.614 0.114
Ba: 0.224 0.781 0.005